Run w
Entry from the Alexandria database: crystalline BaAlSe at its relaxed geometry (GGA-PBE).

Summary:
DOS(E_F) (states/eV/cell): 3.22
Total moment (μB per formula unit): 0.01
SG: F-43m (216)

a b c (Å): 5.403 5.403 5.403
angles (deg): 60.00 60.00 60.00
Fractional coordinates of all 3 atoms:
1 Ba 0.000 0.000 0.000
2 Al 0.250 0.250 0.250
3 Se 0.750 0.750 0.750



Run x
Entry from the Alexandria database: crystalline BaAlSe at its relaxed geometry (GGA-PBE).

Summary:
DOS(E_F) (states/eV/cell): 2.17
Total moment (μB per formula unit): 0.00
SG: F-43m (216)

a b c (Å): 5.315 5.315 5.315
angles (deg): 60.00 60.00 60.00
Fractional coordinates of all 3 atoms:
1 Ba 0.000 0.000 0.000
2 Al 0.500 0.500 0.500
3 Se 0.250 0.250 0.250



Run y
Entry from the Alexandria database: crystalline BaAlSe at its relaxed geometry (GGA-PBE).

Summary:
DOS(E_F) (states/eV/cell): 2.49
Total moment (μB per formula unit): 0.00
SG: I4mm (107)

a b c (Å): 6.469 6.469 6.469
angles (deg): 138.05 138.05 60.83
Fractional coordinates of all 3 atoms:
1 Ba 0.000 0.000 0.000
2 Al 0.308 0.308 0.000
3 Se 0.526 0.526 0.000



Result of the stability comparison: run w is the least stable of them.



Run w
Entry from the Alexandria database: crystalline Ba2AlSe at its relaxed geometry (GGA-PBE).

Summary:
DOS(E_F) (states/eV/cell): 2.82
Total moment (μB per formula unit): 0.00
SG: Cmmm (65)

a b c (Å): 5.831 5.831 4.030
angles (deg): 90.00 90.00 98.32
Fractional coordinates of all 4 atoms:
1 Ba 0.000 0.500 0.000
2 Ba 0.500 0.000 0.000
3 Al 0.000 0.000 0.500
4 Se 0.500 0.500 0.500



Run x
Entry from the Alexandria database: crystalline Ba2AlSe at its relaxed geometry (GGA-PBE).

Summary:
DOS(E_F) (states/eV/cell): 2.81
Total moment (μB per formula unit): 0.76
SG: P4/mmm (123)

a b c (Å): 4.026 4.026 8.580
angles (deg): 90.00 90.00 90.00
Fractional coordinates of all 4 atoms:
1 Ba 0.000 0.000 0.228
2 Ba 0.000 0.000 0.772
3 Al 0.500 0.500 0.500
4 Se 0.500 0.500 0.000



Result of the stability comparison: run w is the least stable of them.



Run w
Entry from the Alexandria database: crystalline Ba2AlSe at its relaxed geometry (GGA-PBE).

Summary:
DOS(E_F) (states/eV/cell): 2.69
Total moment (μB per formula unit): 0.00
SG: Cm (8)

a b c (Å): 6.550 6.550 5.456
angles (deg): 99.96 99.96 38.51
Fractional coordinates of all 4 atoms:
1 Ba 0.000 0.000 0.000
2 Ba 0.737 0.737 0.560
3 Al 0.453 0.453 0.465
4 Se 0.281 0.281 0.102



Run x
Entry from the Alexandria database: crystalline Ba2AlSe at its relaxed geometry (GGA-PBE).

Summary:
DOS(E_F) (states/eV/cell): 3.02
Total moment (μB per formula unit): 0.00
SG: Immm (71)

a b c (Å): 6.030 6.030 6.030
angles (deg): 126.31 126.01 79.63
Fractional coordinates of all 4 atoms:
1 Ba 0.249 0.249 0.000
2 Ba 0.751 0.751 0.000
3 Al 0.500 0.000 0.500
4 Se 0.000 0.500 0.500



Result of the stability comparison: run x is the least stable of them.



Run w
Entry from the Alexandria database: crystalline BaAl3Se at its relaxed geometry (GGA-PBE).

Summary:
DOS(E_F) (states/eV/cell): 5.63
Total moment (μB per formula unit): 0.00
SG: Pm-3m (221)

a b c (Å): 6.095 6.095 6.095
angles (deg): 90.00 90.00 90.00
Fractional coordinates of all 5 atoms:
1 Ba 0.000 0.000 0.000
2 Al 0.000 0.000 0.500
3 Al 0.000 0.500 0.000
4 Al 0.500 0.000 0.000
5 Se 0.500 0.500 0.500



Run x
Entry from the Alexandria database: crystalline BaAl3Se at its relaxed geometry (GGA-PBE).

Summary:
DOS(E_F) (states/eV/cell): 3.99
Total moment (μB per formula unit): 0.00
SG: Pm-3m (221)

a b c (Å): 5.288 5.288 5.288
angles (deg): 90.00 90.00 90.00
Fractional coordinates of all 5 atoms:
1 Ba 0.000 0.000 0.000
2 Al 0.000 0.500 0.500
3 Al 0.500 0.000 0.500
4 Al 0.500 0.500 0.000
5 Se 0.500 0.500 0.500



Result of the stability comparison: run w is the least stable of them.



Run w
Entry from the Alexandria database: crystalline Ba3Al2Si3 at its relaxed geometry (GGA-PBE).

Summary:
DOS(E_F) (states/eV/cell): 4.85
Total moment (μB per formula unit): 0.00
SG: Cmcm (63)

a b c (Å): 6.894 6.894 15.229
angles (deg): 90.00 90.00 140.91
Fractional coordinates of all 16 atoms:
1 Ba 0.074 0.926 0.604
2 Ba 0.074 0.926 0.896
3 Ba 0.359 0.641 0.750
4 Ba 0.641 0.359 0.250
5 Ba 0.926 0.074 0.104
6 Ba 0.926 0.074 0.396
7 Al 0.232 0.768 0.098
8 Al 0.232 0.768 0.402
9 Al 0.768 0.232 0.598
10 Al 0.768 0.232 0.902
11 Si 0.329 0.671 0.250
12 Si 0.339 0.661 0.543
13 Si 0.339 0.661 0.957
14 Si 0.661 0.339 0.043
15 Si 0.661 0.339 0.457
16 Si 0.671 0.329 0.750



Run x
Entry from the Alexandria database: crystalline Ba3Al2Si3 at its relaxed geometry (GGA-PBE).

Summary:
DOS(E_F) (states/eV/cell): 6.86
Total moment (μB per formula unit): 0.00
SG: Cmcm (63)

a b c (Å): 6.573 6.573 17.679
angles (deg): 90.00 90.00 139.51
Fractional coordinates of all 16 atoms:
1 Ba 0.153 0.847 0.566
2 Ba 0.153 0.847 0.934
3 Ba 0.175 0.825 0.250
4 Ba 0.825 0.175 0.750
5 Ba 0.847 0.153 0.066
6 Ba 0.847 0.153 0.434
7 Al 0.472 0.528 0.179
8 Al 0.472 0.528 0.321
9 Al 0.528 0.472 0.679
10 Al 0.528 0.472 0.821
11 Si 0.108 0.892 0.750
12 Si 0.439 0.561 0.553
13 Si 0.439 0.561 0.947
14 Si 0.561 0.439 0.053
15 Si 0.561 0.439 0.447
16 Si 0.892 0.108 0.250



Result of the stability comparison: run x is the least stable of them.



Run w
Entry from the Alexandria database: crystalline Ba2AlSn3 at its relaxed geometry (GGA-PBE).

Summary:
DOS(E_F) (states/eV/cell): 4.10
Total moment (μB per formula unit): 0.00
SG: Pmm2 (25)

a b c (Å): 4.806 5.050 8.569
angles (deg): 90.00 90.00 90.00
Fractional coordinates of all 6 atoms:
1 Ba 0.000 0.000 0.000
2 Ba 0.500 0.000 0.491
3 Al 0.000 0.500 0.665
4 Sn 0.000 0.500 0.348
5 Sn 0.500 0.500 0.158
6 Sn 0.500 0.500 0.812



Run x
Entry from the Alexandria database: crystalline Ba2AlSn3 at its relaxed geometry (GGA-PBE).

Summary:
DOS(E_F) (states/eV/cell): 3.19
Total moment (μB per formula unit): 0.00
SG: Cm (8)

a b c (Å): 7.178 7.178 8.166
angles (deg): 124.50 124.50 38.26
Fractional coordinates of all 6 atoms:
1 Ba 0.000 0.000 0.000
2 Ba 0.507 0.507 0.498
3 Al 0.712 0.712 0.377
4 Sn 0.206 0.206 0.869
5 Sn 0.286 0.286 0.602
6 Sn 0.793 0.793 0.137



Result of the stability comparison: run w is the least stable of them.



Run w
Entry from the Alexandria database: crystalline Ba3AlSn3 at its relaxed geometry (GGA-PBE).

Summary:
DOS(E_F) (states/eV/cell): 5.68
Total moment (μB per formula unit): 0.00
SG: C2/m (12)

a b c (Å): 6.953 6.953 16.326
angles (deg): 108.69 108.69 43.24
Fractional coordinates of all 14 atoms:
1 Ba 0.021 0.021 0.388
2 Ba 0.103 0.103 0.921
3 Ba 0.237 0.237 0.232
4 Ba 0.763 0.763 0.768
5 Ba 0.897 0.897 0.079
6 Ba 0.979 0.979 0.612
7 Al 0.277 0.277 0.607
8 Al 0.723 0.723 0.393
9 Sn 0.331 0.331 0.453
10 Sn 0.395 0.395 0.923
11 Sn 0.467 0.467 0.765
12 Sn 0.533 0.533 0.235
13 Sn 0.605 0.605 0.077
14 Sn 0.669 0.669 0.547



Run x
Entry from the Alexandria database: crystalline Ba3AlSn3 at its relaxed geometry (GGA-PBE).

Summary:
DOS(E_F) (states/eV/cell): 3.87
Total moment (μB per formula unit): 0.00
SG: C2/m (12)

a b c (Å): 9.213 9.213 7.761
angles (deg): 98.67 98.67 118.82
Fractional coordinates of all 14 atoms:
1 Ba 0.155 0.845 0.000
2 Ba 0.219 0.781 0.500
3 Ba 0.380 0.380 0.203
4 Ba 0.620 0.620 0.797
5 Ba 0.781 0.219 0.500
6 Ba 0.845 0.155 0.000
7 Al 0.236 0.236 0.718
8 Al 0.764 0.764 0.282
9 Sn 0.075 0.075 0.350
10 Sn 0.206 0.515 0.829
11 Sn 0.485 0.794 0.171
12 Sn 0.515 0.206 0.829
13 Sn 0.794 0.485 0.171
14 Sn 0.925 0.925 0.650



Result of the stability comparison: run x is the least stable of them.



Run w
Entry from the Alexandria database: crystalline Ba2AlSn2 at its relaxed geometry (GGA-PBE).

Summary:
DOS(E_F) (states/eV/cell): 5.04
Total moment (μB per formula unit): 0.00
SG: C2/m (12)

a b c (Å): 6.971 6.971 12.611
angles (deg): 108.44 108.44 39.10
Fractional coordinates of all 10 atoms:
1 Ba 0.090 0.090 0.405
2 Ba 0.306 0.306 0.862
3 Ba 0.694 0.694 0.138
4 Ba 0.910 0.910 0.595
5 Al 0.415 0.415 0.180
6 Al 0.585 0.585 0.820
7 Sn 0.035 0.035 0.902
8 Sn 0.352 0.352 0.359
9 Sn 0.648 0.648 0.641
10 Sn 0.965 0.965 0.098



Run x
Entry from the Alexandria database: crystalline Ba2AlSn2 at its relaxed geometry (GGA-PBE).

Summary:
DOS(E_F) (states/eV/cell): 6.14
Total moment (μB per formula unit): 0.00
SG: P4/mbm (127)

a b c (Å): 7.878 7.878 5.519
angles (deg): 90.00 90.00 90.00
Fractional coordinates of all 10 atoms:
1 Ba 0.171 0.329 0.000
2 Ba 0.329 0.829 0.000
3 Ba 0.671 0.171 0.000
4 Ba 0.829 0.671 0.000
5 Al 0.000 0.000 0.500
6 Al 0.500 0.500 0.500
7 Sn 0.135 0.635 0.500
8 Sn 0.365 0.135 0.500
9 Sn 0.635 0.865 0.500
10 Sn 0.865 0.365 0.500



Result of the stability comparison: run x is the least stable of them.



Run w
Entry from the Alexandria database: crystalline BaSrAl at its relaxed geometry (GGA-PBE).

Summary:
DOS(E_F) (states/eV/cell): 4.15
Total moment (μB per formula unit): 0.00
SG: F-43m (216)

a b c (Å): 5.766 5.766 5.766
angles (deg): 60.00 60.00 60.00
Fractional coordinates of all 3 atoms:
1 Ba 0.000 0.000 0.000
2 Sr 0.500 0.500 0.500
3 Al 0.250 0.250 0.250



Run x
Entry from the Alexandria database: crystalline BaSrAl at its relaxed geometry (GGA-PBE).

Summary:
DOS(E_F) (states/eV/cell): 5.28
Total moment (μB per formula unit): 0.00
SG: F-43m (216)

a b c (Å): 5.630 5.630 5.630
angles (deg): 60.00 60.00 60.00
Fractional coordinates of all 3 atoms:
1 Ba 0.000 0.000 0.000
2 Sr 0.250 0.250 0.250
3 Al 0.750 0.750 0.750



Run y
Entry from the Alexandria database: crystalline BaSrAl at its relaxed geometry (GGA-PBE).

Summary:
DOS(E_F) (states/eV/cell): 5.84
Total moment (μB per formula unit): 0.00
SG: Fmmm (69)

a b c (Å): 8.285 7.004 6.861
angles (deg): 73.38 54.10 52.51
Fractional coordinates of all 6 atoms:
1 Ba 0.187 0.813 0.187
2 Ba 0.813 0.187 0.813
3 Sr 0.313 0.313 0.687
4 Sr 0.687 0.687 0.313
5 Al 0.250 0.250 0.250
6 Al 0.750 0.750 0.750



Result of the stability comparison: run x is the least stable of them.



Run w
Entry from the Alexandria database: crystalline BaSrAl at its relaxed geometry (GGA-PBE).

Summary:
DOS(E_F) (states/eV/cell): 2.81
Total moment (μB per formula unit): 0.00
SG: I4mm (107)

a b c (Å): 7.987 7.987 7.987
angles (deg): 150.30 150.30 42.51
Fractional coordinates of all 3 atoms:
1 Ba 0.000 0.000 0.000
2 Sr 0.260 0.260 0.000
3 Al 0.639 0.639 0.000



Run x
Entry from the Alexandria database: crystalline BaSrAl at its relaxed geometry (GGA-PBE).

Summary:
DOS(E_F) (states/eV/cell): 4.32
Total moment (μB per formula unit): 0.00
SG: P3m1 (156)

a b c (Å): 5.725 5.725 4.300
angles (deg): 90.00 90.00 120.00
Fractional coordinates of all 3 atoms:
1 Ba 0.000 0.000 0.000
2 Sr 0.667 0.333 0.457
3 Al 0.333 0.667 0.640



Result of the stability comparison: run x is the least stable of them.



Run w
Entry from the Alexandria database: crystalline BaSr2Al2 at its relaxed geometry (GGA-PBE).

Summary:
DOS(E_F) (states/eV/cell): 11.58
Total moment (μB per formula unit): 0.00
SG: Cmc2_1 (36)

a b c (Å): 13.186 13.186 6.778
angles (deg): 90.00 90.00 160.01
Fractional coordinates of all 10 atoms:
1 Ba 0.100 0.900 0.500
2 Ba 0.900 0.100 0.000
3 Sr 0.274 0.726 0.245
4 Sr 0.443 0.557 0.503
5 Sr 0.557 0.443 0.003
6 Sr 0.726 0.274 0.745
7 Al 0.155 0.845 0.019
8 Al 0.327 0.673 0.722
9 Al 0.673 0.327 0.222
10 Al 0.845 0.155 0.519



Run x
Entry from the Alexandria database: crystalline BaSr2Al2 at its relaxed geometry (GGA-PBE).

Summary:
DOS(E_F) (states/eV/cell): 3.69
Total moment (μB per formula unit): 0.00
SG: I4/mmm (139)

a b c (Å): 7.806 7.806 7.806
angles (deg): 139.70 139.70 58.31
Fractional coordinates of all 5 atoms:
1 Ba 0.000 0.000 0.000
2 Sr 0.250 0.750 0.500
3 Sr 0.750 0.250 0.500
4 Al 0.406 0.406 0.000
5 Al 0.594 0.594 0.000



Run y
Entry from the Alexandria database: crystalline BaSr2Al2 at its relaxed geometry (GGA-PBE).

Summary:
DOS(E_F) (states/eV/cell): 6.15
Total moment (μB per formula unit): 0.00
SG: C2/m (12)

a b c (Å): 7.025 7.025 6.670
angles (deg): 99.40 99.40 38.56
Fractional coordinates of all 5 atoms:
1 Ba 0.000 0.000 0.000
2 Sr 0.347 0.347 0.412
3 Sr 0.653 0.653 0.588
4 Al 0.270 0.270 0.905
5 Al 0.730 0.730 0.095



Result of the stability comparison: run x is the least stable of them.